A plane-wave DFT calculation with PBE-GGA was carried out for a geometry-optimized RbLi2Au2 structure.

Properties
The space-group type is I4/mmm (139).

Cell lengths 6.651, 6.651, 6.651 Å; angles 140.08, 140.08, 57.74 degrees
Positions (direct):
Li 0.750 0.250 0.500
Rb 0.000 0.000 0.000
Au 0.624 0.624 0.000
Au 0.376 0.376 0.000
Li 0.250 0.750 0.500


A plane-wave DFT calculation with PBE-GGA was carried out for a geometry-optimized LiRe2Au structure.

Properties
The space-group type is F-43m (216).

Cell lengths 4.370, 4.370, 4.370 Å; angles 60.00, 60.00, 60.00 degrees
Positions (direct):
Au 0.250 0.250 0.250
Re 0.000 0.000 0.000
Li 0.500 0.500 0.500
Re 0.750 0.750 0.750


A plane-wave DFT calculation with PBE-GGA was carried out for a geometry-optimized LiReAu3S4 structure.

Properties
The space-group type is P-43m (215).

Cell lengths 5.940, 5.940, 5.940 Å; angles 90.00, 90.00, 90.00 degrees
Site moments in Bohr magnetons follow the coordinates.
Positions (direct):
S 0.732 0.268 0.732  0.06
S 0.268 0.268 0.268  0.10
Au 0.000 0.500 0.500  0.07
Re 0.500 0.500 0.500  1.71
S 0.732 0.732 0.268  0.07
Au 0.500 0.500 0.000  0.12
Li 0.000 0.000 0.000  0.02
S 0.268 0.732 0.732  0.07
Au 0.500 0.000 0.500  0.09


A plane-wave DFT calculation with PBE-GGA was carried out for a geometry-optimized LiReTeAuS2 structure.

Properties
The space-group type is Cmcm (63).

Cell lengths 7.551, 7.551, 10.407 Å; angles 90.00, 90.00, 155.21 degrees
Site moments in Bohr magnetons follow the coordinates.
Positions (direct):
S 0.880 0.120 0.526  0.02
Au 0.142 0.858 0.250  0.03
Li 0.783 0.217 0.250  0.00
S 0.120 0.880 0.026  0.02
Li 0.217 0.783 0.750  0.00
Te 0.561 0.439 0.750  0.01
S 0.120 0.880 0.474  0.02
Te 0.439 0.561 0.250  0.01
Re 0.500 0.500 0.500  0.57
Re 0.500 0.500 0.000  0.57
S 0.880 0.120 0.974  0.02
Au 0.858 0.142 0.750  0.03


A plane-wave DFT calculation with PBE-GGA was carried out for a geometry-optimized LiReTe2AuS structure.

Properties
The space-group type is Cmcm (63).

Cell lengths 8.107, 8.107, 9.028 Å; angles 90.00, 90.00, 150.28 degrees
Site moments in Bohr magnetons follow the coordinates.
Positions (direct):
S 0.507 0.493 0.250  0.00
Te 0.881 0.119 0.030  0.02
Re 0.500 0.500 0.500  0.38
Li 0.239 0.761 0.750  0.00
Te 0.119 0.881 0.530  0.02
Te 0.881 0.119 0.470  0.02
Li 0.761 0.239 0.250  0.00
Re 0.500 0.500 0.000  0.40
Te 0.119 0.881 0.970  0.02
Au 0.161 0.839 0.250  0.01
Au 0.839 0.161 0.750  0.01
S 0.493 0.507 0.750  0.00


A plane-wave DFT calculation with PBE-GGA was carried out for a geometry-optimized LiReAu3Se4 structure.

Properties
The space-group type is P-43m (215).

Cell lengths 6.161, 6.161, 6.161 Å; angles 90.00, 90.00, 90.00 degrees
Site moments in Bohr magnetons follow the coordinates.
Positions (direct):
Re 0.500 0.500 0.500  1.90
Au 0.500 0.500 0.000  0.10
Au 0.500 0.000 0.500  0.07
Se 0.736 0.264 0.736  0.05
Se 0.264 0.736 0.736  0.06
Se 0.264 0.264 0.264  0.08
Se 0.736 0.736 0.264  0.05
Li 0.000 0.000 0.000  0.02
Au 0.000 0.500 0.500  0.05


A plane-wave DFT calculation with PBE-GGA was carried out for a geometry-optimized LiReTe3Au structure.

Properties
The space-group type is Cmcm (63).

Cell lengths 7.983, 7.983, 10.899 Å; angles 90.00, 90.00, 155.99 degrees
Site moments in Bohr magnetons follow the coordinates.
Positions (direct):
Te 0.864 0.136 0.013  0.00
Te 0.540 0.460 0.250  0.01
Li 0.805 0.195 0.750  0.00
Te 0.864 0.136 0.487  0.00
Te 0.136 0.864 0.513  0.00
Re 0.500 0.500 0.500  0.16
Au 0.168 0.832 0.750  0.00
Te 0.136 0.864 0.987  0.00
Au 0.832 0.168 0.250  0.00
Te 0.460 0.540 0.750  0.01
Li 0.195 0.805 0.250  0.00
Re 0.500 0.500 0.000  0.15


A plane-wave DFT calculation with PBE-GGA was carried out for a geometry-optimized LiReTe4Au3 structure.

Properties
The space-group type is P-43m (215).

Cell lengths 6.392, 6.392, 6.392 Å; angles 90.00, 90.00, 90.00 degrees
Site moments in Bohr magnetons follow the coordinates.
Positions (direct):
Re 0.500 0.500 0.500  2.11
Au 0.000 0.500 0.500  0.04
Te 0.745 0.255 0.745  0.03
Te 0.255 0.745 0.745  0.04
Te 0.745 0.745 0.255  0.02
Li 0.000 0.000 0.000  0.03
Au 0.500 0.500 0.000  0.09
Te 0.255 0.255 0.255  0.05
Au 0.500 0.000 0.500  0.05


A plane-wave DFT calculation with PBE-GGA was carried out for a geometry-optimized LiAuS structure.

Properties
The space-group type is P1 (1).

Cell lengths 4.421, 6.481, 8.363 Å; angles 86.89, 84.97, 87.78 degrees
Positions (direct):
Li 0.427 0.769 0.265
S 0.006 0.944 0.692
Au 0.079 0.369 0.421
Au 0.188 0.180 0.013
S 0.565 0.485 0.442
Li 0.509 0.716 0.683
S 0.882 0.926 0.144
Li 0.660 0.329 0.175
Li 0.510 0.187 0.670
Au 0.953 0.935 0.421
S 0.530 0.425 0.902
Au 0.175 0.667 0.010


A plane-wave DFT calculation with PBE-GGA was carried out for a geometry-optimized Li3AuS2 structure.

Properties
The space-group type is R-3c (167).

Cell lengths 6.563, 6.563, 6.563 Å; angles 61.67, 61.67, 61.67 degrees
Positions (direct):
Au 0.500 0.500 0.500
S 0.646 0.646 0.646
Li 0.750 0.032 0.468
S 0.354 0.354 0.354
Li 0.032 0.468 0.750
Li 0.250 0.968 0.532
S 0.146 0.146 0.146
Li 0.532 0.250 0.968
Au 0.000 0.000 0.000
S 0.854 0.854 0.854
Li 0.468 0.750 0.032
Li 0.968 0.532 0.250


A plane-wave DFT calculation with PBE-GGA was carried out for a geometry-optimized LiAu3S5 structure.

Properties
The space-group type is P6/mmm (191).

Cell lengths 5.383, 5.383, 8.439 Å; angles 90.00, 90.00, 120.00 degrees
Positions (direct):
S 0.000 0.000 0.500
S 0.333 0.667 0.116
S 0.667 0.333 0.884
Au 0.500 0.500 0.500
Au 0.500 0.000 0.500
S 0.667 0.333 0.116
S 0.333 0.667 0.884
Au 0.000 0.500 0.500
Li 0.000 0.000 0.000


A plane-wave DFT calculation with PBE-GGA was carried out for a geometry-optimized Li2AuS2 structure.

Properties
The space-group type is C2/m (12).

Cell lengths 3.729, 4.479, 5.988 Å; angles 77.44, 90.01, 114.57 degrees
Positions (direct):
S 0.869 0.737 0.262
S 0.131 0.263 0.738
Li 0.157 0.314 0.315
Au 0.500 0.000 0.000
Li 0.843 0.686 0.685


Values for VASP energy, eV/atom, ordered as above
-2.6175; -7.1611; -4.4238; -5.0213; -4.7614; -4.1513; -4.5084; -3.9645; -3.7244; -3.8676; -3.4627; -3.7839